one:
This record from Alexandria describes a relaxed structure of Ac2PrIr. The functional is GGA-PBE.

CIF file:
```
data_Ac2PrIr
_chemical_formula_sum 'Ac2 Pr1 Ir1'
_cell_length_a 4.1412
_cell_length_b 4.1412
_cell_length_c 11.3323
_cell_angle_alpha 79.47
_cell_angle_beta 79.47
_cell_angle_gamma 60.00
_space_group_name_H-M_alt 'P 1'
_space_group_IT_number 1
_space_group_name_Hall 'P 1'
loop_
_atom_site_label
_atom_site_type_symbol
_atom_site_fract_x
_atom_site_fract_y
_atom_site_fract_z
Pr1 Pr 0.0000 0.0000 0.0000
Ac1 Ac 0.1154 0.1154 0.6538
Ac2 Ac 0.8846 0.8846 0.3462
Ir1 Ir 0.5000 0.5000 0.5000
```

Results
Space group ... R-3m
Spin magnetization ... 0.72 μB/cell

two:
This record from Alexandria describes a relaxed structure of Ac2PrIr. The functional is GGA-PBE.

CIF file:
```
data_Ac2PrIr
_chemical_formula_sum 'Ac2 Pr1 Ir1'
_cell_length_a 4.2371
_cell_length_b 4.2371
_cell_length_c 10.0924
_cell_angle_alpha 77.88
_cell_angle_beta 77.88
_cell_angle_gamma 60.00
_space_group_name_H-M_alt 'P 1'
_space_group_IT_number 1
_space_group_name_Hall 'P 1'
loop_
_atom_site_label
_atom_site_type_symbol
_atom_site_fract_x
_atom_site_fract_y
_atom_site_fract_z
Ac1 Ac 0.0568 0.0568 0.8296
Ac2 Ac 0.2765 0.2765 0.1705
Pr1 Pr 0.5004 0.5004 0.4987
Ir1 Ir 0.6663 0.6663 0.0011
```

Results
Space group ... R3m
Spin magnetization ... 0.53 μB/cell

three:
This record from Alexandria describes a relaxed structure of Ac2PrIr. The functional is GGA-PBE.

CIF file:
```
data_Ac2PrIr
_chemical_formula_sum 'Ac8 Pr4 Ir4'
_cell_length_a 6.8360
_cell_length_b 7.2727
_cell_length_c 12.3512
_cell_angle_alpha 90.00
_cell_angle_beta 90.00
_cell_angle_gamma 90.00
_space_group_name_H-M_alt 'P 1'
_space_group_IT_number 1
_space_group_name_Hall 'P 1'
loop_
_atom_site_label
_atom_site_type_symbol
_atom_site_fract_x
_atom_site_fract_y
_atom_site_fract_z
Ac1 Ac 0.7449 0.9149 0.9183
Ac2 Ac 0.2551 0.0851 0.0817
Ac3 Ac 0.2449 0.5851 0.5817
Ac4 Ac 0.7551 0.4149 0.4183
Ac5 Ac 0.7448 0.4149 0.0817
Ac6 Ac 0.2552 0.5851 0.9183
Ac7 Ac 0.2448 0.0851 0.4183
Ac8 Ac 0.7552 0.9149 0.5817
Pr1 Pr 0.2499 0.5783 0.2500
Pr2 Pr 0.7501 0.4217 0.7500
Pr3 Pr 0.7499 0.9216 0.2500
Pr4 Pr 0.2501 0.0784 0.7500
Ir1 Ir 0.0000 0.2500 0.5929
Ir2 Ir 0.0000 0.7500 0.4071
Ir3 Ir 0.5000 0.2500 0.9071
Ir4 Ir 0.5000 0.7500 0.0929
```

Results
Space group ... Pnna
Spin magnetization ... 0.00 μB/cell

Order of stability, best first: three, two, one